# 1
Pm2Pr3Ag2: optimized geometry, PBE.

Properties
Spin magnetization = 0.000 μB per cell
Total energy = -30.297 eV per cell
N(E_F) = 7.61 states/eV per cell

a b c (Å): 3.8735 6.8561 9.5296
angles (deg): 114.28 90.00 106.41
Last column: nearest neighbours and their distance in Å.
Fractional coordinates of all 7 atoms:
Pm: 0.8503 0.7006 0.1857  2 Ag 3.18
Pm: 0.1497 0.2994 0.8143  2 Ag 3.18
Pr: 0.5000 0.0000 0.0000  4 Ag 3.05
Pr: 0.6109 0.2218 0.4453  3 Ag 3.21, 1 Pr 3.49
Pr: 0.3891 0.7782 0.5547  3 Ag 3.21, 1 Pr 3.49
Ag: 0.8274 0.6547 0.7749  5 Pr 3.05-3.21, 2 Pm 3.18
Ag: 0.1726 0.3453 0.2251  5 Pr 3.05-3.21, 2 Pm 3.18

---

# 2
MgAl2Pb: optimized geometry, PBE.

Properties
Spin magnetization = 0.000 μB per cell
Total energy = -12.142 eV per cell
N(E_F) = 2.34 states/eV per cell

a b c (Å): 3.1701 4.3872 6.4540
angles (deg): 90.00 90.00 90.00
Last column: nearest neighbours and their distance in Å.
Fractional coordinates of all 4 atoms:
Al: 0.0000 0.0000 0.0352  1 Al 2.77, 4 Mg 3.04
Al: 0.0000 0.0000 0.4648  1 Al 2.77, 4 Mg 3.04
Mg: 0.5000 0.5000 0.2500  8 Al 3.04, 2 Mg 3.17, 2 Pb 3.23
Pb: 0.5000 0.5000 0.7500  2 Pb 3.17, 2 Mg 3.23, 8 Al 3.27

---

# 3
TaNiIr2: optimized geometry, PBE.

Properties
Spin magnetization = 0.000 μB per cell
Total energy = -36.354 eV per cell
N(E_F) = 5.01 states/eV per cell

a b c (Å): 4.7450 4.7450 4.6783
angles (deg): 79.90 79.90 34.38
Last column: nearest neighbours and their distance in Å.
Fractional coordinates of all 4 atoms:
Ir: 0.9959 0.9959 0.0064  4 Ni 2.69-2.77, 5 Ir 2.71-2.80, 3 Ta 2.72-2.79
Ir: 0.2502 0.2502 0.2551  4 Ta 2.68-2.77, 5 Ir 2.71-2.80, 3 Ni 2.71-2.72
Ni: 0.5021 0.5021 0.4948  7 Ir 2.69-2.77, 3 Ta 2.73-2.74, 2 Ni 2.80
Ta: 0.7517 0.7517 0.7437  7 Ir 2.68-2.79, 3 Ni 2.73-2.74, 2 Ta 2.80